Record 1
The following is a GGA-PBE calculation of a relaxed MoPt6Rh crystal, from the Alexandria database.

a b c (Å): 3.9530 3.9530 7.8966
angles (deg): 90.00 90.00 90.00
Fractional positions:
Pt1 0.5000 0.5000 0.0000
Pt2 0.0000 0.5000 0.7447
Pt3 0.5000 0.5000 0.5000
Rh1 0.0000 0.0000 0.0000
Mo1 0.0000 0.0000 0.5000
Pt4 0.5000 0.0000 0.7447
Pt5 0.5000 0.0000 0.2553
Pt6 0.0000 0.5000 0.2553

Properties
Its total energy is -6.9546 eV per atom. The value obtained for the energy above the lowest structure with this stoichiometry is 50 meV/atom. For the formation enthalpy at 0 K, the calculation gives -151 meV/atom. As for the density of states at the Fermi level: 10.753 states/eV/f.u.


Record 2
The following is a GGA-PBE calculation of a relaxed MoRuPtRh crystal, from the Alexandria database.

a b c (Å): 3.8110 3.9936 3.8668
angles (deg): 90.00 90.00 90.00
Fractional positions:
Mo1 0.0000 0.5000 0.5000
Rh1 0.5000 0.0000 0.5000
Pt1 0.0000 0.0000 0.0000
Ru1 0.5000 0.5000 0.0000

Properties
Its total energy is -8.5573 eV per atom. For the formation enthalpy at 0 K, the calculation gives -183 meV/atom. As for the density of states at the Fermi level: 2.924 states/eV/f.u.


Record 3
The following is a GGA-PBE calculation of a relaxed TaMoPtRh crystal, from the Alexandria database.

a b c (Å): 3.9362 3.9455 4.0210
angles (deg): 90.00 90.00 90.00
Fractional positions:
Rh1 0.0000 0.0000 0.0000
Mo1 0.0000 0.5000 0.5000
Ta1 0.5000 0.0000 0.5000
Pt1 0.5000 0.5000 0.0000

Properties
Its total energy is -9.5008 eV per atom. For the formation enthalpy at 0 K, the calculation gives -482 meV/atom. As for the density of states at the Fermi level: 2.062 states/eV/f.u.